a | # AcLa3Au2

A relaxed AcLa3Au2 crystal (GGA-PBE, the Alexandria database).

- volume (Å³/atom) = 32.7
- calculated density (g/cm3) = 8.78
- crystal system = orthorhombic

The structure in CIF format:
```
data_AcLa3Au2
_space_group_name_H-M_alt 'P m c 21'
_space_group_IT_number 26
_cell_length_a 4.066
_cell_length_b 10.243
_cell_length_c 9.423
_cell_angle_alpha 90.00
_cell_angle_beta 90.00
_cell_angle_gamma 90.00
loop_
_space_group_symop_operation_xyz
'x,y,z'
'-x,-y,z+1/2'
'-x,y,z'
'x,-y,z+1/2'
loop_
_atom_site_label
_atom_site_type_symbol
_atom_site_fract_x
_atom_site_fract_y
_atom_site_fract_z
Ac1 Ac 0.000 0.079 0.000
La1 La 0.000 0.284 0.647
La2 La 0.500 0.222 0.330
La3 La 0.500 0.428 0.983
Au1 Au 0.000 0.433 0.264
Au2 Au 0.500 0.071 0.721
```

***

b | # AcLa3Au2

A relaxed AcLa3Au2 crystal (GGA-PBE, the Alexandria database).

- volume (Å³/atom) = 31.7
- calculated density (g/cm3) = 9.06
- crystal system = monoclinic

The structure in CIF format:
```
data_AcLa3Au2
_space_group_name_H-M_alt 'C 1 2/m 1'
_space_group_IT_number 12
_cell_length_a 17.934
_cell_length_b 4.876
_cell_length_c 9.801
_cell_angle_alpha 90.00
_cell_angle_beta 117.37
_cell_angle_gamma 90.00
loop_
_space_group_symop_operation_xyz
'x,y,z'
'-x,-y,-z'
'-x,y,-z'
'x,-y,z'
'x+1/2,y+1/2,z'
'-x+1/2,-y+1/2,-z'
'-x+1/2,y+1/2,-z'
'x+1/2,-y+1/2,z'
loop_
_atom_site_label
_atom_site_type_symbol
_atom_site_fract_x
_atom_site_fract_y
_atom_site_fract_z
Ac1 Ac 0.113 0.000 0.037
La1 La 0.059 0.000 0.394
La2 La 0.137 0.500 0.725
La3 La 0.212 0.500 0.384
Au1 Au 0.015 0.500 0.168
Au2 Au 0.249 0.000 0.902
```

***

Name the most stable of them. a.

***

a | # Ac3La4Au4

A relaxed Ac3La4Au4 crystal (GGA-PBE, the Alexandria database).

- volume (Å³/atom) = 31.9
- calculated density (g/cm3) = 9.57
- crystal system = orthorhombic

The structure in CIF format:
```
data_Ac3La4Au4
_space_group_name_H-M_alt 'I m m m'
_space_group_IT_number 71
_space_group_name_Hall '-I 2 2'
_cell_length_a 5.138
_cell_length_b 8.130
_cell_length_c 16.817
_cell_angle_alpha 90.00
_cell_angle_beta 90.00
_cell_angle_gamma 90.00
loop_
_atom_site_label
_atom_site_type_symbol
_atom_site_fract_x
_atom_site_fract_y
_atom_site_fract_z
Ac1 Ac 0.000 0.000 0.000
Ac2 Ac 0.000 0.500 0.104
La1 La 0.000 0.283 0.328
Au1 Au 0.000 0.000 0.204
Au2 Au 0.000 0.190 0.500
```

***

b | # Ac3La4Au4

A relaxed Ac3La4Au4 crystal (GGA-PBE, the Alexandria database).

- volume (Å³/atom) = 33.0
- calculated density (g/cm3) = 9.25
- crystal system = triclinic

The structure in CIF format:
```
data_Ac3La4Au4
_space_group_name_H-M_alt 'P -1'
_space_group_IT_number 2
_cell_length_a 4.120
_cell_length_b 9.936
_cell_length_c 10.120
_cell_angle_alpha 61.99
_cell_angle_beta 84.76
_cell_angle_gamma 84.28
loop_
_space_group_symop_operation_xyz
'x,y,z'
'-x,-y,-z'
loop_
_atom_site_label
_atom_site_type_symbol
_atom_site_fract_x
_atom_site_fract_y
_atom_site_fract_z
Ac1 Ac 0.000 0.000 0.000
Ac2 Ac 0.225 0.444 0.351
La1 La 0.294 0.943 0.368
La2 La 0.300 0.335 0.024
Au1 Au 0.235 0.782 0.717
Au2 Au 0.312 0.282 0.722
```

***

Name the most stable of them. b.

***

a | # Ac3LaAu2

A relaxed Ac3LaAu2 crystal (GGA-PBE, the Alexandria database).

- volume (Å³/atom) = 38.0
- calculated density (g/cm3) = 8.85
- crystal system = orthorhombic

The structure in CIF format:
```
data_Ac3LaAu2
_space_group_name_H-M_alt 'I b a m'
_space_group_IT_number 72
_space_group_name_Hall '-I 2 2c'
_cell_length_a 7.632
_cell_length_b 14.912
_cell_length_c 8.008
_cell_angle_alpha 90.00
_cell_angle_beta 90.00
_cell_angle_gamma 90.00
loop_
_atom_site_label
_atom_site_type_symbol
_atom_site_fract_x
_atom_site_fract_y
_atom_site_fract_z
Ac1 Ac 0.000 0.000 0.250
Ac2 Ac 0.000 0.271 0.250
La1 La 0.000 0.500 0.000
Au1 Au 0.203 0.140 0.000
```

***

b | # Ac3LaAu2

A relaxed Ac3LaAu2 crystal (GGA-PBE, the Alexandria database).

- volume (Å³/atom) = 33.9
- calculated density (g/cm3) = 9.91
- crystal system = orthorhombic

The structure in CIF format:
```
data_Ac3LaAu2
_space_group_name_H-M_alt 'P m c 21'
_space_group_IT_number 26
_cell_length_a 5.349
_cell_length_b 9.908
_cell_length_c 7.676
_cell_angle_alpha 90.00
_cell_angle_beta 90.00
_cell_angle_gamma 90.00
loop_
_space_group_symop_operation_xyz
'x,y,z'
'-x,-y,z+1/2'
'-x,y,z'
'x,-y,z+1/2'
loop_
_atom_site_label
_atom_site_type_symbol
_atom_site_fract_x
_atom_site_fract_y
_atom_site_fract_z
Ac1 Ac 0.000 0.078 0.000
Ac2 Ac 0.000 0.343 0.359
Ac3 Ac 0.500 0.169 0.652
La1 La 0.500 0.418 0.013
Au1 Au 0.000 0.348 0.777
Au2 Au 0.500 0.153 0.237
```

***

Name the most stable of them. b.

***

a | # AcLaNiAu

A relaxed AcLaNiAu crystal (GGA-PBE, the Alexandria database).

- volume (Å³/atom) = 27.2
- calculated density (g/cm3) = 9.48
- crystal system = orthorhombic

The structure in CIF format:
```
data_AcLaNiAu
_space_group_name_H-M_alt 'A m m 2'
_space_group_IT_number 38
_cell_length_a 4.732
_cell_length_b 4.099
_cell_length_c 11.228
_cell_angle_alpha 90.00
_cell_angle_beta 90.00
_cell_angle_gamma 90.00
loop_
_space_group_symop_operation_xyz
'x,y,z'
'-x,-y,z'
'-x,y,z'
'x,-y,z'
'x,y+1/2,z+1/2'
'-x,-y+1/2,z+1/2'
'-x,y+1/2,z+1/2'
'x,-y+1/2,z+1/2'
loop_
_atom_site_label
_atom_site_type_symbol
_atom_site_fract_x
_atom_site_fract_y
_atom_site_fract_z
Ac1 Ac 0.000 0.000 0.000
La1 La 0.500 0.000 0.275
Ni1 Ni 0.000 0.000 0.724
Au1 Au 0.500 0.000 0.564
```

***

b | # AcLaNiAu

A relaxed AcLaNiAu crystal (GGA-PBE, the Alexandria database).

- volume (Å³/atom) = 26.5
- calculated density (g/cm3) = 9.74
- crystal system = cubic

The structure in CIF format:
```
data_AcLaNiAu
_space_group_name_H-M_alt 'F -4 3 m'
_space_group_IT_number 216
_space_group_name_Hall 'F -4 2 3'
_cell_length_a 7.512
_cell_length_b 7.512
_cell_length_c 7.512
_cell_angle_alpha 90.00
_cell_angle_beta 90.00
_cell_angle_gamma 90.00
loop_
_atom_site_label
_atom_site_type_symbol
_atom_site_fract_x
_atom_site_fract_y
_atom_site_fract_z
Ac1 Ac 0.000 0.000 0.000
La1 La 0.000 0.000 0.500
Ni1 Ni 0.250 0.250 0.750
Au1 Au 0.250 0.250 0.250
```

***

Name the most stable of them. a.

***

a | # AcLaRhAu

A relaxed AcLaRhAu crystal (GGA-PBE, the Alexandria database).

- volume (Å³/atom) = 26.4
- calculated density (g/cm3) = 10.47
- crystal system = cubic

The structure in CIF format:
```
data_AcLaRhAu
_space_group_name_H-M_alt 'F -4 3 m'
_space_group_IT_number 216
_space_group_name_Hall 'F -4 2 3'
_cell_length_a 7.502
_cell_length_b 7.502
_cell_length_c 7.502
_cell_angle_alpha 90.00
_cell_angle_beta 90.00
_cell_angle_gamma 90.00
loop_
_atom_site_label
_atom_site_type_symbol
_atom_site_fract_x
_atom_site_fract_y
_atom_site_fract_z
Ac1 Ac 0.000 0.000 0.000
La1 La 0.000 0.000 0.500
Rh1 Rh 0.250 0.250 0.750
Au1 Au 0.250 0.250 0.250
```

***

b | # AcLaRhAu

A relaxed AcLaRhAu crystal (GGA-PBE, the Alexandria database).

- volume (Å³/atom) = 29.1
- calculated density (g/cm3) = 9.51
- crystal system = monoclinic

The structure in CIF format:
```
data_AcLaRhAu
_space_group_name_H-M_alt 'P 1 m 1'
_space_group_IT_number 6
_cell_length_a 4.362
_cell_length_b 4.361
_cell_length_c 6.113
_cell_angle_alpha 90.00
_cell_angle_beta 90.04
_cell_angle_gamma 90.00
loop_
_space_group_symop_operation_xyz
'x,y,z'
'x,-y,z'
loop_
_atom_site_label
_atom_site_type_symbol
_atom_site_fract_x
_atom_site_fract_y
_atom_site_fract_z
Ac1 Ac 0.000 0.000 0.000
La1 La 0.501 0.500 0.499
Rh1 Rh 0.500 0.500 0.000
Au1 Au 0.001 0.000 0.500
```

***

Name the most stable of them. b.

***

a | # AcLaTlAu

A relaxed AcLaTlAu crystal (GGA-PBE, the Alexandria database).

- volume (Å³/atom) = 31.1
- calculated density (g/cm3) = 10.25
- crystal system = cubic

The structure in CIF format:
```
data_AcLaTlAu
_space_group_name_H-M_alt 'F -4 3 m'
_space_group_IT_number 216
_space_group_name_Hall 'F -4 2 3'
_cell_length_a 7.921
_cell_length_b 7.921
_cell_length_c 7.921
_cell_angle_alpha 90.00
_cell_angle_beta 90.00
_cell_angle_gamma 90.00
loop_
_atom_site_label
_atom_site_type_symbol
_atom_site_fract_x
_atom_site_fract_y
_atom_site_fract_z
Ac1 Ac 0.000 0.000 0.000
La1 La 0.000 0.000 0.500
Tl1 Tl 0.250 0.250 0.250
Au1 Au 0.250 0.250 0.750
```

***

b | # AcLaTlAu

A relaxed AcLaTlAu crystal (GGA-PBE, the Alexandria database).

- volume (Å³/atom) = 30.9
- calculated density (g/cm3) = 10.32
- crystal system = tetragonal

The structure in CIF format:
```
data_AcLaTlAu
_space_group_name_H-M_alt 'P 4 m m'
_space_group_IT_number 99
_cell_length_a 3.881
_cell_length_b 3.881
_cell_length_c 8.197
_cell_angle_alpha 90.00
_cell_angle_beta 90.00
_cell_angle_gamma 90.00
loop_
_space_group_symop_operation_xyz
'x,y,z'
'-y,x,z'
'-x,-y,z'
'y,-x,z'
'-x,y,z'
'y,x,z'
'x,-y,z'
'-y,-x,z'
loop_
_atom_site_label
_atom_site_type_symbol
_atom_site_fract_x
_atom_site_fract_y
_atom_site_fract_z
Ac1 Ac 0.000 0.000 0.000
La1 La 0.000 0.000 0.545
Tl1 Tl 0.500 0.500 0.285
Au1 Au 0.500 0.500 0.759
```

***

Name the most stable of them. b.